The following is a PBE calculation of a relaxed structure of Ba2PrGa, from Alexandria via LeMat-Bulk.

Summary:
**Final energy**: -2.74 eV per atom
**Space group**: R-3m, No. 166
**M_tot**: 0.42 μB/f.u.
**Energy of formation from the pure elements**: 0.69 eV/f.u.
**DOS at the Fermi energy**: 5.43 states/eV/cell
**Mass density**: 4.7 g/cm3

Unit cell a=12.778 b=12.778 c=12.778 alpha=17.80 beta=17.80 gamma=17.80
Fractional coordinates of all 4 atoms:
Ba 0.101 0.101 0.101
Ba 0.899 0.899 0.899
Pr 0.000 0.000 0.000
Ga 0.500 0.500 0.500

***

The following is a PBE calculation of a relaxed structure of BaPrGa, from Alexandria via LeMat-Bulk.

Summary:
**Final energy**: -3.57 eV per atom
**Space group**: P4/nmm, No. 129
**M_tot**: 0.00 μB/f.u.
**Energy of formation from the pure elements**: -0.99 eV/f.u.
**DOS at the Fermi energy**: 3.64 states/eV/cell
**Mass density**: 5.3 g/cm3
**Energy above the lowest structure with this stoichiometry**: 0.000 eV/atom

Unit cell a=5.215 b=5.215 c=8.039 alpha=90.00 beta=90.00 gamma=90.00
Fractional coordinates of all 6 atoms:
Ba 0.250 0.250 0.129
Ba 0.750 0.750 0.871
Pr 0.250 0.750 0.500
Pr 0.750 0.250 0.500
Ga 0.250 0.250 0.715
Ga 0.750 0.750 0.285

***

The following is a PBE calculation of a relaxed structure of BaPr4Ga4, from Alexandria via LeMat-Bulk.

Summary:
**Final energy**: -3.97 eV per atom
**Space group**: P4_2/n, No. 86
**M_tot**: 0.00 μB/f.u.
**Energy of formation from the pure elements**: -2.61 eV/f.u.
**DOS at the Fermi energy**: 16.52 states/eV/cell
**Mass density**: 5.7 g/cm3

Unit cell a=9.711 b=9.711 c=6.019 alpha=90.00 beta=90.00 gamma=90.00
Fractional coordinates of all 18 atoms:
Ba 0.250 0.250 0.250
Ba 0.750 0.750 0.750
Pr 0.104 0.851 0.621
Pr 0.149 0.604 0.121
Pr 0.351 0.896 0.121
Pr 0.396 0.649 0.621
Pr 0.604 0.351 0.379
Pr 0.649 0.104 0.879
Pr 0.851 0.396 0.879
Pr 0.896 0.149 0.379
Ga 0.015 0.896 0.127
Ga 0.104 0.515 0.627
Ga 0.396 0.985 0.627
Ga 0.485 0.604 0.127
Ga 0.515 0.396 0.873
Ga 0.604 0.015 0.373
Ga 0.896 0.485 0.373
Ga 0.985 0.104 0.873

***

The following is a PBE calculation of a relaxed structure of BaPrGa2, from Alexandria via LeMat-Bulk.

Summary:
**Final energy**: -3.61 eV per atom
**Space group**: P4/mmm, No. 123
**M_tot**: 0.00 μB/f.u.
**Energy of formation from the pure elements**: -1.69 eV/f.u.
**DOS at the Fermi energy**: 2.23 states/eV/cell
**Mass density**: 5.8 g/cm3
**Energy above the lowest structure with this stoichiometry**: 0.000 eV/atom

Unit cell a=3.915 b=3.915 c=7.814 alpha=90.00 beta=90.00 gamma=90.00
Fractional coordinates of all 4 atoms:
Ba 0.000 0.000 0.000
Pr 0.000 0.000 0.500
Ga 0.500 0.500 0.294
Ga 0.500 0.500 0.706

***

The following is a PBE calculation of a relaxed structure of BaPrGaS4, from Alexandria via LeMat-Bulk.

Summary:
**E_form (uncorrected)**: -156.13 kJ/mol of atoms
**Final energy**: -5.37 eV per atom
**Space group**: P2_1/m, No. 11
**M_tot**: 0.00 μB/f.u.
**DOS at the Fermi energy**: 0.00 states/eV/cell
**Mass density**: 4.3 g/cm3

Unit cell a=6.695 b=6.751 c=8.563 alpha=90.00 beta=107.61 gamma=90.00
Fractional coordinates of all 14 atoms:
Ba 0.238 0.250 0.434
Ba 0.762 0.750 0.566
Pr 0.275 0.250 0.946
Pr 0.725 0.750 0.054
Ga 0.270 0.750 0.182
Ga 0.730 0.250 0.818
S 0.068 0.750 0.917
S 0.075 0.750 0.357
S 0.497 0.507 0.772
S 0.497 0.993 0.772
S 0.503 0.007 0.228
S 0.503 0.493 0.228
S 0.925 0.250 0.643
S 0.932 0.250 0.083

***

The following is a PBE calculation of a relaxed structure of Ba2PrGa2S6, from Alexandria via LeMat-Bulk.

Summary:
**E_form (uncorrected)**: -131.88 kJ/mol of atoms
**Final energy**: -4.95 eV per atom
**Space group**: C2/m, No. 12
**M_tot**: 0.77 μB/f.u.
**DOS at the Fermi energy**: 2.62 states/eV/cell
**Mass density**: 3.9 g/cm3

Unit cell a=6.890 b=6.890 c=8.081 alpha=109.76 beta=109.76 gamma=64.30
Fractional coordinates of all 11 atoms:
Ba 0.200 0.200 0.166
Ba 0.800 0.800 0.834
Pr 0.000 0.000 0.500
Ga 0.460 0.460 0.659
Ga 0.540 0.540 0.341
S 0.185 0.698 0.197
S 0.254 0.254 0.576
S 0.302 0.815 0.803
S 0.698 0.185 0.197
S 0.746 0.746 0.424
S 0.815 0.302 0.803

***

The following is a PBE calculation of a relaxed structure of Ba2PrGaS5, from Alexandria via LeMat-Bulk.

Summary:
**E_form (uncorrected)**: -166.03 kJ/mol of atoms
**Final energy**: -5.31 eV per atom
**Space group**: Cmc2_1, No. 36
**M_tot**: 0.00 μB/f.u.
**Mass density**: 4.3 g/cm3
**Energy above the lowest structure with this stoichiometry**: 0.000 eV/atom

Unit cell a=9.466 b=9.466 c=13.183 alpha=90.00 beta=90.00 gamma=154.73
Fractional coordinates of all 18 atoms:
Ba 0.118 0.882 0.500
Ba 0.126 0.874 0.149
Ba 0.874 0.126 0.649
Ba 0.882 0.118 0.000
Pr 0.201 0.799 0.847
Pr 0.799 0.201 0.347
Ga 0.445 0.555 0.237
Ga 0.555 0.445 0.737
S 0.036 0.964 0.831
S 0.298 0.702 0.490
S 0.322 0.678 0.192
S 0.349 0.651 0.826
S 0.497 0.503 0.587
S 0.503 0.497 0.087
S 0.651 0.349 0.326
S 0.678 0.322 0.692
S 0.702 0.298 0.990
S 0.964 0.036 0.331

***

The following is a PBE calculation of a relaxed structure of Ba2PrGaS5, from Alexandria via LeMat-Bulk.

Summary:
**E_form (uncorrected)**: -163.62 kJ/mol of atoms
**Final energy**: -5.28 eV per atom
**Space group**: Fmmm, No. 69
**M_tot**: 0.00 μB/f.u.
**DOS at the Fermi energy**: 0.00 states/eV/cell
**Mass density**: 4.6 g/cm3
**Energy above the lowest structure with this stoichiometry**: 0.025 eV/atom

Unit cell a=9.032 b=8.952 c=8.250 alpha=63.19 beta=62.20 gamma=54.61
Fractional coordinates of all 18 atoms:
Ba 0.158 0.842 0.158
Ba 0.250 0.250 0.250
Ba 0.750 0.750 0.750
Ba 0.842 0.158 0.842
Pr 0.334 0.666 0.666
Pr 0.666 0.334 0.334
Ga 0.249 0.249 0.751
Ga 0.751 0.751 0.249
S 0.000 0.000 0.500
S 0.010 0.697 0.990
S 0.223 0.502 0.498
S 0.303 0.990 0.697
S 0.498 0.777 0.223
S 0.500 0.500 0.000
S 0.502 0.223 0.777
S 0.697 0.010 0.303
S 0.777 0.498 0.502
S 0.990 0.303 0.010

***

The following is a PBE calculation of a relaxed structure of Ba2PrGaTe5, from Alexandria via LeMat-Bulk.

Summary:
**E_form (uncorrected)**: -125.81 kJ/mol of atoms
**Final energy**: -4.34 eV per atom
**Space group**: Cmc2_1, No. 36
**M_tot**: 0.00 μB/f.u.
**Mass density**: 5.5 g/cm3

Unit cell a=10.655 b=10.655 c=14.292 alpha=90.00 beta=90.00 gamma=155.26
Fractional coordinates of all 18 atoms:
Ba 0.120 0.880 0.500
Ba 0.123 0.877 0.140
Ba 0.877 0.123 0.640
Ba 0.880 0.120 0.000
Pr 0.205 0.795 0.839
Pr 0.795 0.205 0.339
Ga 0.439 0.561 0.243
Ga 0.561 0.439 0.743
Te 0.044 0.956 0.851
Te 0.295 0.705 0.491
Te 0.316 0.684 0.180
Te 0.354 0.646 0.821
Te 0.500 0.500 0.083
Te 0.500 0.500 0.583
Te 0.646 0.354 0.321
Te 0.684 0.316 0.680
Te 0.705 0.295 0.991
Te 0.956 0.044 0.351

***

The following is a PBE calculation of a relaxed structure of BaGaPt2, from Alexandria via LeMat-Bulk.

Summary:
**Final energy**: -4.92 eV per atom
**Space group**: I-42d, No. 122
**M_tot**: 0.00 μB/f.u.
**Energy of formation from the pure elements**: -2.66 eV/f.u.
**DOS at the Fermi energy**: 2.59 states/eV/cell
**Mass density**: 8.7 g/cm3

Unit cell a=9.115 b=9.115 c=9.115 alpha=146.64 beta=146.64 gamma=47.90
Fractional coordinates of all 8 atoms:
Ba 0.000 0.000 0.000
Ba 0.750 0.250 0.500
Ga 0.250 0.750 0.500
Ga 0.500 0.500 0.000
Pt 0.347 0.625 0.222
Pt 0.375 0.597 0.722
Pt 0.403 0.125 0.778
Pt 0.875 0.653 0.278

***

The following is a PBE calculation of a relaxed structure of Ba2GaPt, from Alexandria via LeMat-Bulk.

Summary:
**Final energy**: -3.39 eV per atom
**Space group**: R-3m, No. 166
**M_tot**: 0.00 μB/f.u.
**Energy of formation from the pure elements**: -0.66 eV/f.u.
**DOS at the Fermi energy**: 4.37 states/eV/cell
**Mass density**: 5.0 g/cm3

Unit cell a=10.905 b=10.905 c=10.905 alpha=23.41 beta=23.41 gamma=23.41
Fractional coordinates of all 4 atoms:
Ba 0.110 0.110 0.110
Ba 0.890 0.890 0.890
Ga 0.000 0.000 0.000
Pt 0.500 0.500 0.500